A relaxed In3Ag2Sn4 crystal, computed with PBE-GGA. Values from VASP.

energy relative to the elements = 0.34 eV per formula unit
E = -3.288 eV per atom

Structure (Quantum ESPRESSO input):
```
&SYSTEM
  ibrav = 0, nat = 9, ntyp = 3
/
ATOMIC_SPECIES
In 114.82 In.upf
Ag 107.87 Ag.upf
Sn 118.71 Sn.upf
CELL_PARAMETERS angstrom
-3.508 0.959 -2.330
-3.896 -5.280 -0.311
-7.506 -1.328 6.750
ATOMIC_POSITIONS angstrom
In -8.720 -3.490 3.684
In 0.000 0.000 0.000
In -6.190 -2.159 0.424
Ag -4.148 -0.585 2.001
Ag -10.762 -5.064 2.107
Sn -2.809 -1.379 -0.342
Sn -12.101 -4.269 4.450
Sn -5.919 -2.002 4.084
Sn -8.991 -3.647 0.024
```

=====

A relaxed Tb2BeHPt6 crystal, computed with PBE-GGA. Values from VASP.

E = -6.113 eV per atom

Structure (Quantum ESPRESSO input):
```
&SYSTEM
  ibrav = 0, nat = 10, ntyp = 4
/
ATOMIC_SPECIES
Tb 158.93 Tb.upf
Be 9.01 Be.upf
H 1.01 H.upf
Pt 195.08 Pt.upf
CELL_PARAMETERS angstrom
-0.722 -0.917 -5.568
0.225 -6.484 1.076
-4.461 -4.570 -1.535
ATOMIC_POSITIONS angstrom
Tb -2.493 -4.191 -4.768
Tb -2.464 -7.779 -1.260
Be -0.248 -3.700 -2.246
H 0.000 0.000 0.000
Pt -2.446 -4.366 -1.836
Pt -0.490 -5.752 -3.299
Pt -0.139 -5.303 -0.555
Pt -4.819 -6.667 -5.473
Pt -4.468 -6.218 -2.728
Pt -2.512 -7.605 -4.191
```

=====

A relaxed MgZnInSn crystal, computed with PBE-GGA. Values from VASP.

energy relative to the elements = 0.24 eV per formula unit
E = -2.343 eV per atom

Structure (Quantum ESPRESSO input):
```
&SYSTEM
  ibrav = 0, nat = 4, ntyp = 4
/
ATOMIC_SPECIES
Mg 24.30 Mg.upf
Zn 65.41 Zn.upf
Sn 118.71 Sn.upf
In 114.82 In.upf
CELL_PARAMETERS angstrom
-4.961 0.165 1.073
-2.617 -4.313 0.579
-1.649 -1.370 4.603
ATOMIC_POSITIONS angstrom
Mg 0.000 0.000 0.000
Zn -4.614 -2.759 3.127
Sn -2.307 -1.379 1.564
In -6.921 -4.138 4.691
```

=====

A relaxed Tl3SnH8 crystal, computed with PBE-GGA. Values from VASP.

E = -3.112 eV per atom

Structure (Quantum ESPRESSO input):
```
&SYSTEM
  ibrav = 0, nat = 12, ntyp = 3
/
ATOMIC_SPECIES
Tl 204.38 Tl.upf
Sn 118.71 Sn.upf
H 1.01 H.upf
CELL_PARAMETERS angstrom
8.755 0.000 6.751
-2.497 3.172 1.902
3.760 0.000 10.555
ATOMIC_POSITIONS angstrom
Tl 7.746 1.586 12.612
Tl 1.488 1.587 3.959
Tl 7.212 0.000 9.315
Sn 1.207 0.000 0.992
H 10.965 0.000 14.409
H 4.715 1.723 8.071
H 2.217 1.449 9.973
H 4.297 0.000 5.163
H 10.732 0.000 13.694
H 4.196 1.493 7.577
H 1.698 1.679 9.479
H 4.873 0.000 5.646
```

=====

A relaxed Be3InAu crystal, computed with PBE-GGA. Values from VASP.

E above lowest polymorph = 0.000 eV per atom
energy relative to the elements = 2.36 eV per formula unit
E = -2.966 eV per atom

Structure (Quantum ESPRESSO input):
```
&SYSTEM
  ibrav = 0, nat = 5, ntyp = 3
/
ATOMIC_SPECIES
Be 9.01 Be.upf
Au 196.97 Au.upf
In 114.82 In.upf
CELL_PARAMETERS angstrom
4.435 0.000 0.000
0.000 4.435 0.000
0.000 0.000 4.435
ATOMIC_POSITIONS angstrom
Be 0.000 2.218 0.000
Be 0.000 0.000 2.218
Be 2.218 0.000 0.000
Au 0.000 0.000 0.000
In 2.218 2.218 2.218
```

=====

A relaxed LaSiNi2 crystal, computed with PBE-GGA. Values from VASP.

E = -6.141 eV per atom

Structure (Quantum ESPRESSO input):
```
&SYSTEM
  ibrav = 0, nat = 4, ntyp = 3
/
ATOMIC_SPECIES
Ni 58.69 Ni.upf
Si 28.09 Si.upf
La 138.91 La.upf
CELL_PARAMETERS angstrom
5.545 -0.002 -0.001
4.095 3.739 -0.001
4.095 1.588 3.385
ATOMIC_POSITIONS angstrom
Ni 13.039 5.055 3.211
Ni 7.565 2.932 1.863
Si 3.434 1.331 0.846
La 10.302 3.993 2.537
```

=====

A relaxed ThAl5Zn7 crystal, computed with PBE-GGA. Values from VASP.

energy relative to the elements = -1.57 eV per formula unit
E = -2.817 eV per atom

Structure (Quantum ESPRESSO input):
```
&SYSTEM
  ibrav = 0, nat = 13, ntyp = 3
/
ATOMIC_SPECIES
Th 232.04 Th.upf
Al 26.98 Al.upf
Zn 65.41 Zn.upf
CELL_PARAMETERS angstrom
1.215 -5.040 2.125
0.623 -4.964 -4.743
6.756 -1.236 0.594
ATOMIC_POSITIONS angstrom
Th 7.360 -6.196 -4.130
Al 3.965 -3.146 1.326
Al 3.362 -0.643 0.271
Al 0.950 -4.980 -1.298
Al 0.346 -2.476 -2.353
Al 6.631 -8.465 -1.707
Zn 3.406 -5.452 -0.105
Zn 5.190 -5.788 -1.922
Zn 5.802 -7.605 0.807
Zn 4.033 -8.680 -0.732
Zn 1.924 -2.768 -0.277
Zn 2.558 -6.676 -2.522
Zn 6.033 -4.564 0.501
```

=====

A relaxed LiZrNi2 crystal, computed with PBE-GGA. Values from VASP.

energy relative to the elements = -0.83 eV per formula unit
E = -5.713 eV per atom

Structure (Quantum ESPRESSO input):
```
&SYSTEM
  ibrav = 0, nat = 4, ntyp = 3
/
ATOMIC_SPECIES
Li 6.94 Li.upf
Ni 58.69 Ni.upf
Zr 91.22 Zr.upf
CELL_PARAMETERS angstrom
3.234 0.000 0.000
0.000 3.175 -0.007
0.000 3.189 5.550
ATOMIC_POSITIONS angstrom
Li 1.617 4.773 4.157
Ni 0.000 3.190 5.448
Ni 0.000 3.180 2.874
Zr 1.617 1.591 1.386
```

=====

A relaxed Tl2CoP crystal, computed with PBE-GGA. Values from VASP.

E above lowest polymorph = 0.712 eV per atom
energy relative to the elements = 3.09 eV per formula unit
E = -3.541 eV per atom

Structure (Quantum ESPRESSO input):
```
&SYSTEM
  ibrav = 0, nat = 4, ntyp = 3
/
ATOMIC_SPECIES
P 30.97 P.upf
Tl 204.38 Tl.upf
Co 58.93 Co.upf
CELL_PARAMETERS angstrom
0.000 3.461 3.461
3.461 0.000 3.461
3.461 3.461 0.000
ATOMIC_POSITIONS angstrom
P 0.000 0.000 0.000
Tl 1.730 1.730 1.730
Tl 5.191 5.191 5.191
Co 3.461 3.461 3.461
```

=====

A relaxed Nd6AgIr2I3 crystal, computed with PBE-GGA. Values from VASP.

E = -5.326 eV per atom

Structure (Quantum ESPRESSO input):
```
&SYSTEM
  ibrav = 0, nat = 12, ntyp = 4
/
ATOMIC_SPECIES
Nd 144.24 Nd.upf
Ag 107.87 Ag.upf
Ir 192.22 Ir.upf
I 126.90 I.upf
CELL_PARAMETERS angstrom
-3.537 5.053 4.121
-3.867 -5.160 -3.667
2.932 -4.898 6.299
ATOMIC_POSITIONS angstrom
Nd -3.175 -2.226 6.842
Nd -4.670 -0.996 1.504
Nd -1.297 -2.779 -0.089
Nd -3.292 -5.877 4.058
Nd 0.198 -4.009 5.249
Nd -1.179 0.871 2.695
Ag 0.000 0.000 0.000
Ir -3.757 -1.759 -1.074
Ir -3.647 1.652 1.527
I -2.346 -5.929 0.763
I -2.125 0.924 5.989
I -2.236 -2.503 3.376
```

=====

A relaxed Pr7CdRu2 crystal, computed with PBE-GGA. Values from VASP.

energy relative to the elements = 0.16 eV per formula unit
E = -5.276 eV per atom

Structure (Quantum ESPRESSO input):
```
&SYSTEM
  ibrav = 0, nat = 10, ntyp = 3
/
ATOMIC_SPECIES
Pr 140.91 Pr.upf
Cd 112.41 Cd.upf
Ru 101.07 Ru.upf
CELL_PARAMETERS angstrom
-1.912 -2.610 4.285
3.582 -7.120 -2.739
5.081 4.492 5.004
ATOMIC_POSITIONS angstrom
Pr 4.009 -3.813 -0.534
Pr 4.654 1.185 2.798
Pr 0.828 -0.277 3.565
Pr 5.923 -4.961 2.985
Pr 0.438 -3.297 1.551
Pr 6.313 -1.941 4.998
Pr 3.375 -2.619 3.275
Cd 0.000 0.000 0.000
Ru 3.078 -4.922 1.739
Ru 3.673 -0.317 4.810
```

=====

A relaxed PmPrMn crystal, computed with PBE-GGA. Values from VASP.

energy relative to the elements = 0.62 eV per formula unit
E = -6.027 eV per atom

Structure (Quantum ESPRESSO input):
```
&SYSTEM
  ibrav = 0, nat = 6, ntyp = 3
/
ATOMIC_SPECIES
Pm 145.00 Pm.upf
Mn 54.94 Mn.upf
Pr 140.91 Pr.upf
CELL_PARAMETERS angstrom
-3.327 -4.295 -0.355
3.825 -3.005 0.514
0.852 2.199 6.514
ATOMIC_POSITIONS angstrom
Pm -1.406 -2.955 4.827
Pm 2.757 -2.147 1.846
Mn 0.248 -1.116 3.266
Mn 1.102 -3.986 3.407
Pr -0.971 -2.992 1.370
Pr 2.321 -2.110 5.303
```

=====

Q: E of number 7 (ThAl5Zn7)?
A: -2.817 eV per atom

=====

Q: What is the formula in the tenth record?
A: Nd6AgIr2I3

=====

Q: Number 12 is which compound?
A: PmPrMn